Material: Na2CdBCl
Method: DFT, GGA-PBE
State: relaxed

```
Na2CdBCl
1.0
5.2540 0.0000 0.0000
0.0000 5.2540 0.0000
0.0000 0.0000 4.9176
Na Cd B Cl
2 1 1 1
Direct
0.0000 0.5000 0.0000
0.5000 0.0000 0.0000
0.0000 0.0000 0.5000
0.5000 0.5000 0.0000
0.5000 0.5000 0.5000
```

Results
- ΔE_f (raw) (kJ/mol of formula units) = 223
- space group = P4/mmm
- DOS at the Fermi energy (states/eV/f.u.) = 2.25
- total energy (eV/cell) = -9.8